(1)
Pu4Ga3Ge | GGA-PBE | relaxed

Summary:
* total DFT energy (no corrections): -72.568 eV/cell
* formation enthalpy at 0 K: -0.1928 eV/atom
* space group: Pmm2
* density of states at the Fermi level: 18.9 states/eV/f.u.
* E above lowest polymorph: 96.8 meV/atom
* calculated volume: 158.6 Å³/cell

Geometry as extended XYZ:
```
8
Lattice="3.791 0.000 0.000 0.000 4.819 0.000 0.000 0.000 8.679" Properties=species:S:1:pos:R:3 pbc="T T T"
Pu 0.000 0.000 0.000
Pu 0.000 2.410 2.409
Pu 1.895 0.000 6.987
Pu 1.895 2.410 0.766
Ga 0.000 0.000 4.550
Ga 1.895 0.000 2.544
Ga 1.895 2.410 4.882
Ge 0.000 2.410 6.977
```

---

(2)
Pu4Ga5Ge2 | GGA-PBE | relaxed

Summary:
* total DFT energy (no corrections): -85.172 eV/cell
* formation enthalpy at 0 K: -0.3159 eV/atom
* space group: P2/m
* density of states at the Fermi level: 23.3 states/eV/f.u.
* calculated volume: 227.6 Å³/cell

Geometry as extended XYZ:
```
11
Lattice="7.778 0.000 0.000 0.000 3.018 0.000 -0.658 0.000 9.697" Properties=species:S:1:pos:R:3 pbc="T T T"
Pu 1.010 0.000 3.695
Pu 1.596 0.000 9.283
Pu 5.525 0.000 0.414
Pu 6.110 0.000 6.002
Ga 1.185 1.509 6.429
Ga 3.411 1.509 2.147
Ga 3.560 1.509 4.849
Ga 3.709 1.509 7.550
Ga 5.935 1.509 3.268
Ge 0.207 1.509 1.286
Ge 6.914 1.509 8.411
```

---

(3)
Pu3Ga2Ge | GGA-PBE | relaxed

Summary:
* total DFT energy (no corrections): -55.391 eV/cell
* formation enthalpy at 0 K: -0.2874 eV/atom
* space group: P4/mmm
* density of states at the Fermi level: 19.5 states/eV/f.u.
* calculated volume: 131.5 Å³/cell

Geometry as extended XYZ:
```
6
Lattice="3.821 0.000 0.000 0.000 3.821 0.000 0.000 0.000 9.004" Properties=species:S:1:pos:R:3 pbc="T T T"
Pu 0.000 0.000 0.000
Pu 0.000 0.000 3.054
Pu 0.000 0.000 5.951
Ga 1.911 1.911 1.508
Ga 1.911 1.911 7.496
Ge 1.911 1.911 4.502
```

---

(4)
Pu4GaGe3 | GGA-PBE | relaxed

Summary:
* total DFT energy (no corrections): -77.163 eV/cell
* formation enthalpy at 0 K: -0.3695 eV/atom
* space group: Pmm2
* density of states at the Fermi level: 18.1 states/eV/f.u.
* calculated volume: 157.0 Å³/cell

Geometry as extended XYZ:
```
8
Lattice="3.635 0.000 0.000 0.000 4.882 0.000 0.000 0.000 8.848" Properties=species:S:1:pos:R:3 pbc="T T T"
Pu 0.000 0.000 0.000
Pu 0.000 2.441 2.625
Pu 1.818 0.000 7.101
Pu 1.818 2.441 4.378
Ga 0.000 0.000 4.545
Ge 0.000 2.441 6.917
Ge 1.818 0.000 2.528
Ge 1.818 2.441 0.113
```

---

(5)
PuGa4Ge | GGA-PBE | relaxed

Summary:
* total DFT energy (no corrections): -31.441 eV/cell
* formation enthalpy at 0 K: -0.0641 eV/atom
* space group: F-43m
* density of states at the Fermi level: 14.2 states/eV/f.u.
* E above lowest polymorph: 0.0 meV/atom
* calculated volume: 117.8 Å³/cell

Geometry as extended XYZ:
```
6
Lattice="0.000 3.891 3.891 3.891 0.000 3.891 3.891 3.891 0.000" Properties=species:S:1:pos:R:3 pbc="T T T"
Pu 0.000 0.000 0.000
Ga 2.921 2.921 2.921
Ga 4.860 4.860 2.921
Ga 4.860 2.921 4.860
Ga 2.921 4.860 4.860
Ge 5.836 5.836 5.836
```

---

(6)
Pu3GaGe | GGA-PBE | relaxed

Summary:
* total DFT energy (no corrections): -101.986 eV/cell
* formation enthalpy at 0 K: -0.0706 eV/atom
* space group: Cmcm
* density of states at the Fermi level: 19.0 states/eV/f.u.
* E above lowest polymorph: 94.6 meV/atom
* calculated volume: 261.1 Å³/cell

Geometry as extended XYZ:
```
10
Lattice="3.249 -7.825 0.000 3.249 7.825 0.000 0.000 0.000 5.135" Properties=species:S:1:pos:R:3 pbc="T T T"
Pu 1.770 2.109 3.851
Pu 3.249 5.018 3.851
Pu 1.770 -2.109 1.284
Pu 4.727 2.109 3.851
Pu 3.249 -5.018 1.284
Pu 4.727 -2.109 1.284
Ga 0.000 0.000 0.000
Ga 0.000 0.000 2.568
Ge 3.249 3.199 1.284
Ge 3.249 -3.199 3.851
```